Record 1
First-principles (GGA-PBE) data for an optimized crystal structure of Tm4Te2Pb, as listed in Alexandria via LeMat-Bulk.

Cell lengths 8.175, 8.175, 8.175 Å; angles 108.78, 108.78, 110.87 degrees
Positions (direct):
Tm (0.006, 0.753, 0.638)
Tm (0.115, 0.368, 0.362)
Tm (0.118, 0.256, 0.753)
Tm (0.247, 0.994, 0.362)
Tm (0.503, 0.365, 0.247)
Tm (0.632, 0.885, 0.638)
Tm (0.635, 0.497, 0.753)
Tm (0.744, 0.882, 0.247)
Te (0.325, 0.625, 0.200)
Te (0.375, 0.675, 0.800)
Te (0.425, 0.125, 0.800)
Te (0.875, 0.575, 0.200)
Pb (0.000, 0.000, 0.000)
Pb (0.750, 0.250, 0.500)

Results
total DFT energy (no corrections)	-4.755	eV/atom
uncorrected formation energy	-0.772	eV/atom
space group	I4_122, No. 98
crystal system	tetragonal
magnetization	0.000	μB/cell

Record 2
First-principles (GGA-PBE) data for an optimized crystal structure of Tm5TePb2, as listed in Alexandria via LeMat-Bulk.

Cell lengths 6.874, 6.874, 13.157 Å; angles 90.00, 90.00, 127.96 degrees
Positions (direct):
Tm (0.064, 0.936, 0.606)
Tm (0.064, 0.936, 0.894)
Tm (0.380, 0.620, 0.553)
Tm (0.380, 0.620, 0.947)
Tm (0.394, 0.606, 0.250)
Tm (0.606, 0.394, 0.750)
Tm (0.620, 0.380, 0.053)
Tm (0.620, 0.380, 0.447)
Tm (0.936, 0.064, 0.106)
Tm (0.936, 0.064, 0.394)
Te (0.248, 0.752, 0.750)
Te (0.752, 0.248, 0.250)
Pb (0.191, 0.809, 0.107)
Pb (0.191, 0.809, 0.393)
Pb (0.809, 0.191, 0.607)
Pb (0.809, 0.191, 0.893)

Results
total DFT energy (no corrections)	-4.385	eV/atom
uncorrected formation energy	-0.270	eV/atom
space group	Cmcm, No. 63
crystal system	orthorhombic
magnetization	0.000	μB/cell

Record 3
First-principles (GGA-PBE) data for an optimized crystal structure of Tm2TePb, as listed in Alexandria via LeMat-Bulk.

Cell lengths 3.663, 3.663, 8.072 Å; angles 90.00, 90.00, 90.00 degrees
Positions (direct):
Tm (0.000, 0.000, 0.236)
Tm (0.000, 0.000, 0.764)
Te (0.500, 0.500, 0.000)
Pb (0.500, 0.500, 0.500)

Results
total DFT energy (no corrections)	-4.640	eV/atom
uncorrected formation energy	-0.691	eV/atom
space group	P4/mmm, No. 123
crystal system	tetragonal
distance to the lowest polymorph of the same formula	0.1837	eV/atom
magnetization	0.001	μB/cell

Record 4
First-principles (GGA-PBE) data for an optimized crystal structure of Tm4Te5Pb, as listed in Alexandria via LeMat-Bulk.

Cell lengths 9.969, 9.969, 9.104 Å; angles 106.16, 106.16, 24.39 degrees
Positions (direct):
Tm (0.004, 0.004, 0.238)
Tm (0.325, 0.325, 0.417)
Tm (0.675, 0.675, 0.583)
Tm (0.996, 0.996, 0.762)
Te (0.153, 0.153, 0.801)
Te (0.166, 0.166, 0.334)
Te (0.500, 0.500, 0.000)
Te (0.834, 0.834, 0.666)
Te (0.847, 0.847, 0.199)
Pb (0.500, 0.500, 0.500)

Results
total DFT energy (no corrections)	-4.758	eV/atom
uncorrected formation energy	-1.028	eV/atom
space group	C2/m, No. 12
crystal system	monoclinic
magnetization	0.000	μB/cell

Record 5
First-principles (GGA-PBE) data for an optimized crystal structure of Tm3TePb2, as listed in Alexandria via LeMat-Bulk.

Cell lengths 7.910, 7.910, 7.910 Å; angles 150.11, 133.73, 56.07 degrees
Positions (direct):
Tm (0.000, 0.000, 0.000)
Tm (0.334, 0.334, 0.000)
Tm (0.666, 0.666, 0.000)
Te (0.500, 0.000, 0.500)
Pb (0.166, 0.666, 0.500)
Pb (0.834, 0.334, 0.500)

Results
total DFT energy (no corrections)	-4.674	eV/atom
uncorrected formation energy	-0.679	eV/atom
space group	Immm, No. 71
crystal system	orthorhombic
distance to the lowest polymorph of the same formula	0.0000	eV/atom
magnetization	0.000	μB/cell

Record 6
First-principles (GGA-PBE) data for an optimized crystal structure of Tm7Te2Pb2, as listed in Alexandria via LeMat-Bulk.

Cell lengths 7.032, 7.032, 6.950 Å; angles 90.00, 90.00, 100.74 degrees
Positions (direct):
Tm (0.000, 0.000, 0.000)
Tm (0.000, 0.500, 0.270)
Tm (0.000, 0.500, 0.730)
Tm (0.500, 0.000, 0.270)
Tm (0.500, 0.000, 0.730)
Tm (0.500, 0.500, 0.262)
Tm (0.500, 0.500, 0.738)
Te (0.276, 0.724, 0.000)
Te (0.724, 0.276, 0.000)
Pb (0.185, 0.185, 0.500)
Pb (0.815, 0.815, 0.500)

Results
total DFT energy (no corrections)	-4.369	eV/atom
uncorrected formation energy	-0.278	eV/atom
space group	Cmmm, No. 65
crystal system	orthorhombic
magnetization	0.002	μB/cell

Record 7
First-principles (GGA-PBE) data for an optimized crystal structure of Tm4Te5Pb2, as listed in Alexandria via LeMat-Bulk.

Cell lengths 11.759, 11.759, 8.097 Å; angles 98.64, 98.64, 19.62 degrees
Positions (direct):
Tm (0.030, 0.030, 0.265)
Tm (0.326, 0.326, 0.519)
Tm (0.674, 0.674, 0.481)
Tm (0.970, 0.970, 0.735)
Te (0.089, 0.089, 0.622)
Te (0.153, 0.153, 0.194)
Te (0.500, 0.500, 0.000)
Te (0.847, 0.847, 0.806)
Te (0.911, 0.911, 0.378)
Pb (0.231, 0.231, 0.820)
Pb (0.769, 0.769, 0.180)

Results
total DFT energy (no corrections)	-4.504	eV/atom
uncorrected formation energy	-0.776	eV/atom
space group	C2/m, No. 12
crystal system	monoclinic
magnetization	0.000	μB/cell

Record 8
First-principles (GGA-PBE) data for an optimized crystal structure of Tm8Te2Pb, as listed in Alexandria via LeMat-Bulk.

Cell lengths 8.020, 8.020, 5.832 Å; angles 98.04, 98.04, 116.52 degrees
Positions (direct):
Tm (0.087, 0.318, 0.638)
Tm (0.244, 0.756, 0.000)
Tm (0.318, 0.087, 0.638)
Tm (0.403, 0.403, 0.200)
Tm (0.597, 0.597, 0.800)
Tm (0.682, 0.913, 0.362)
Tm (0.756, 0.244, 0.000)
Tm (0.913, 0.682, 0.362)
Te (0.304, 0.696, 0.500)
Te (0.696, 0.304, 0.500)
Pb (0.000, 0.000, 0.000)

Results
total DFT energy (no corrections)	-4.538	eV/atom
uncorrected formation energy	-0.378	eV/atom
space group	C2/m, No. 12
crystal system	monoclinic
magnetization	0.001	μB/cell

Record 9
First-principles (GGA-PBE) data for an optimized crystal structure of Tm5TePb4, as listed in Alexandria via LeMat-Bulk.

Cell lengths 12.954, 12.954, 12.954 Å; angles 163.19, 152.05, 32.80 degrees
Positions (direct):
Tm (0.000, 0.000, 0.000)
Tm (0.201, 0.201, 0.000)
Tm (0.403, 0.403, 0.000)
Tm (0.597, 0.597, 0.000)
Tm (0.799, 0.799, 0.000)
Te (0.500, 0.000, 0.500)
Pb (0.099, 0.599, 0.500)
Pb (0.302, 0.802, 0.500)
Pb (0.698, 0.198, 0.500)
Pb (0.901, 0.401, 0.500)

Results
total DFT energy (no corrections)	-4.555	eV/atom
uncorrected formation energy	-0.521	eV/atom
space group	Immm, No. 71
crystal system	orthorhombic
distance to the lowest polymorph of the same formula	0.0000	eV/atom
magnetization	0.000	μB/cell

Record 10
First-principles (GGA-PBE) data for an optimized crystal structure of Tm2TePb, as listed in Alexandria via LeMat-Bulk.

Cell lengths 7.562, 7.562, 7.562 Å; angles 131.90, 131.90, 70.38 degrees
Positions (direct):
Tm (0.122, 0.372, 0.750)
Tm (0.372, 0.122, 0.250)
Tm (0.628, 0.878, 0.750)
Tm (0.878, 0.628, 0.250)
Te (0.375, 0.625, 0.750)
Te (0.625, 0.375, 0.250)
Pb (0.125, 0.875, 0.250)
Pb (0.875, 0.125, 0.750)

Results
total DFT energy (no corrections)	-4.823	eV/atom
uncorrected formation energy	-0.875	eV/atom
space group	I4_1/amd, No. 141
crystal system	tetragonal
distance to the lowest polymorph of the same formula	0.0000	eV/atom
magnetization	0.000	μB/cell

Record 11
First-principles (GGA-PBE) data for an optimized crystal structure of Tm5Te4Pb, as listed in Alexandria via LeMat-Bulk.

Cell lengths 7.505, 7.505, 7.505 Å; angles 99.52, 99.52, 132.01 degrees
Positions (direct):
Tm (0.000, 0.000, 0.000)
Tm (0.205, 0.600, 0.808)
Tm (0.397, 0.205, 0.605)
Tm (0.600, 0.792, 0.395)
Tm (0.792, 0.397, 0.192)
Te (0.096, 0.302, 0.400)
Te (0.302, 0.902, 0.206)
Te (0.695, 0.096, 0.794)
Te (0.902, 0.695, 0.600)
Pb (0.500, 0.500, 0.000)

Results
total DFT energy (no corrections)	-4.936	eV/atom
uncorrected formation energy	-1.072	eV/atom
space group	I4, No. 79
crystal system	tetragonal
distance to the lowest polymorph of the same formula	0.0000	eV/atom
magnetization	0.000	μB/cell

Record 12
First-principles (GGA-PBE) data for an optimized crystal structure of Tm8TePb2, as listed in Alexandria via LeMat-Bulk.

Cell lengths 9.390, 9.390, 6.735 Å; angles 92.58, 92.58, 32.03 degrees
Positions (direct):
Tm (0.032, 0.032, 0.245)
Tm (0.214, 0.214, 0.124)
Tm (0.337, 0.337, 0.593)
Tm (0.408, 0.408, 0.068)
Tm (0.592, 0.592, 0.932)
Tm (0.663, 0.663, 0.407)
Tm (0.786, 0.786, 0.876)
Tm (0.968, 0.968, 0.755)
Te (0.500, 0.500, 0.500)
Pb (0.163, 0.163, 0.670)
Pb (0.837, 0.837, 0.330)

Results
total DFT energy (no corrections)	-4.596	eV/atom
uncorrected formation energy	-0.384	eV/atom
space group	C2/m, No. 12
crystal system	monoclinic
magnetization	0.000	μB/cell